! SCAN In2ReMo, PBEsol geometry; values from VASP
! uncorrected energy = -42.498 eV per atom
! calculated formation energy = 0.6908 eV per atom
! relative energy among the computed polymorphs = 86.6 meV per atom
! symmetry = No. 47
&SYSTEM
  ibrav = 0, nat = 4, ntyp = 3
/
ATOMIC_SPECIES
In 114.82 In.upf
Re 186.21 Re.upf
Mo 95.94 Mo.upf
ATOMIC_POSITIONS crystal
In 0.000 0.000 0.249
In 0.000 0.000 0.751
Re 0.500 0.500 0.000
Mo 0.500 0.500 0.500
CELL_PARAMETERS angstrom
2.896 0.000 0.000
0.000 4.309 0.000
0.000 0.000 5.570